## LiNiH12S2O14 (PBE with a Hubbard U)

Data for a geometry-optimized LiNiH12S2O14 structure.

a = 5.7786 Å, b = 12.2394 Å, c = 8.8792 Å
α = 90.00°, β = 105.06°, γ = 90.00°
Positions (direct):
Li: 0.1969 0.0000 0.2006
Li: 0.8031 0.5000 0.7994
Ni: 0.4740 0.4268 0.2437
Ni: 0.5260 0.9268 0.7563
H: 0.1309 0.3446 0.0251
H: 0.1542 0.5785 0.2173
H: 0.1547 0.4973 0.3647
H: 0.1748 0.7892 0.7071
H: 0.1774 0.0129 0.5370
H: 0.1942 0.8650 0.8701
H: 0.3794 0.3025 0.9918
H: 0.3799 0.5336 0.9799
H: 0.4262 0.0419 0.4952
H: 0.4419 0.2375 0.3624
H: 0.4799 0.8205 0.4922
H: 0.4808 0.1149 0.8868
H: 0.5192 0.6149 0.1132
H: 0.5201 0.3205 0.5078
H: 0.5581 0.7375 0.6376
H: 0.5738 0.5419 0.5048
H: 0.6201 0.0336 0.0201
H: 0.6206 0.8025 0.0082
H: 0.8058 0.3650 0.1299
H: 0.8226 0.5129 0.4630
H: 0.8252 0.2892 0.2929
H: 0.8453 0.9973 0.6353
H: 0.8458 0.0785 0.7827
H: 0.8691 0.8446 0.9749
S: 0.2182 0.5775 0.6630
S: 0.2683 0.7886 0.1694
S: 0.7317 0.2886 0.8306
S: 0.7818 0.0775 0.3370
O: 0.0994 0.6978 0.1640
O: 0.1098 0.6861 0.6180
O: 0.1131 0.4978 0.5354
O: 0.1527 0.8724 0.0446
O: 0.1593 0.5386 0.8087
O: 0.1827 0.4999 0.2568
O: 0.2284 0.8624 0.7645
O: 0.3020 0.3246 0.0764
O: 0.3161 0.8515 0.3173
O: 0.3533 0.0284 0.5829
O: 0.4226 0.3129 0.3964
O: 0.4861 0.5831 0.6860
O: 0.4895 0.0363 0.9206
O: 0.4950 0.7490 0.1377
O: 0.5050 0.2490 0.8623
O: 0.5105 0.5363 0.0794
O: 0.5139 0.0831 0.3140
O: 0.5774 0.8129 0.6036
O: 0.6467 0.5284 0.4171
O: 0.6839 0.3515 0.6827
O: 0.6980 0.8246 0.9236
O: 0.7716 0.3624 0.2355
O: 0.8173 0.9999 0.7432
O: 0.8407 0.0386 0.1913
O: 0.8473 0.3724 0.9554
O: 0.8869 0.9978 0.4646
O: 0.8902 0.1861 0.3820
O: 0.9006 0.1978 0.8360

The total energy comes out at -5.238 eV per atom. As for the space group: No. 4. For the volume, the calculation gives 606.4 Å³ per cell.